[1]
Zr2Ti3N2 | PBE | relaxed

Cell: 4.999 4.999 7.720 Å, 107.66 107.66 34.19°
Atoms (fractional coordinates):
Zr 0.186 0.186 0.295
Zr 0.814 0.814 0.705
Ti 0.401 0.401 0.100
Ti 0.500 0.500 0.500
Ti 0.599 0.599 0.900
N 0.074 0.074 0.709
N 0.926 0.926 0.291

## Properties
Total magnetic moment: 0.0 μB per formula unit
E_form (uncorrected): -0.790 eV per atom
Space-group type: C2/m (12)


[2]
ZrTiN2 | PBE | relaxed

Cell: 5.875 5.875 5.875 Å, 131.79 131.79 70.56°
Atoms (fractional coordinates):
Zr 0.000 0.000 0.000
Zr 0.750 0.250 0.500
Ti 0.250 0.750 0.500
Ti 0.500 0.500 0.000
N 0.149 0.625 0.024
N 0.375 0.399 0.524
N 0.601 0.125 0.976
N 0.875 0.851 0.476

## Properties
Total magnetic moment: 0.0 μB per formula unit
E_form (uncorrected): -1.365 eV per atom
Space-group type: I-42d (122)


[3]
Zr3TiN | PBE | relaxed

Cell: 4.876 4.876 4.876 Å, 90.00 90.00 90.00°
Atoms (fractional coordinates):
Zr 0.000 0.000 0.500
Zr 0.000 0.500 0.000
Zr 0.500 0.000 0.000
Ti 0.000 0.000 0.000
N 0.500 0.500 0.500

## Properties
Total magnetic moment: 0.0 μB per formula unit
Energy above the most stable polymorph in this dataset: 2.412 eV per atom
E_form (uncorrected): 1.722 eV per atom
Space-group type: Pm-3m (221)


[4]
Zr2TiN2 | PBE | relaxed

Cell: 5.623 5.623 6.263 Å, 111.62 111.62 49.34°
Atoms (fractional coordinates):
Zr 0.017 0.017 0.260
Zr 0.329 0.329 0.901
Zr 0.671 0.671 0.099
Zr 0.983 0.983 0.740
Ti 0.353 0.353 0.397
Ti 0.647 0.647 0.603
N 0.173 0.173 0.090
N 0.494 0.494 0.740
N 0.506 0.506 0.260
N 0.827 0.827 0.910

## Properties
Total magnetic moment: 0.0 μB per formula unit
Energy above the most stable polymorph in this dataset: 0.000 eV per atom
E_form (uncorrected): -1.444 eV per atom
Space-group type: C2/m (12)


[5]
ZrTiN2 | PBE | relaxed

Cell: 3.165 3.165 4.442 Å, 90.00 90.00 90.00°
Atoms (fractional coordinates):
Zr 0.000 0.000 0.000
Ti 0.500 0.500 0.500
N 0.000 0.000 0.500
N 0.500 0.500 0.000

## Properties
Total magnetic moment: 0.0 μB per formula unit
E_form (uncorrected): -1.620 eV per atom
Space-group type: P4/mmm (123)


[6]
Zr2TiN | PBE | relaxed

Cell: 7.883 7.883 7.883 Å, 23.47 23.47 23.47°
Atoms (fractional coordinates):
Zr 0.225 0.225 0.225
Zr 0.775 0.775 0.775
Ti 0.000 0.000 0.000
N 0.500 0.500 0.500

## Properties
Total magnetic moment: 0.0 μB per formula unit
E_form (uncorrected): -0.771 eV per atom
Space-group type: R-3m (166)


[7]
ZrTi2N | PBE | relaxed

Cell: 5.882 5.882 5.882 Å, 118.06 118.06 93.40°
Atoms (fractional coordinates):
Zr 0.000 0.000 0.000
Zr 0.750 0.250 0.500
Ti 0.283 0.625 0.158
Ti 0.375 0.533 0.658
Ti 0.467 0.125 0.842
Ti 0.875 0.717 0.342
N 0.250 0.750 0.500
N 0.500 0.500 0.000

## Properties
Total magnetic moment: 0.0 μB per formula unit
E_form (uncorrected): -0.349 eV per atom
Space-group type: I-42d (122)


[8]
ZrTi2N | PBE | relaxed

Cell: 2.814 2.814 7.297 Å, 90.00 90.00 90.00°
Atoms (fractional coordinates):
Zr 0.000 0.000 0.000
Ti 0.500 0.500 0.333
Ti 0.500 0.500 0.667
N 0.000 0.000 0.500

## Properties
Total magnetic moment: 0.0 μB per formula unit
E_form (uncorrected): -0.281 eV per atom
Space-group type: P4/mmm (123)


Q: What is the E_form (uncorrected) in the seventh record?
A: -0.349 eV per atom